DFT (PBE) results for Ce2NiP4Ir3 after structural relaxation.

Unit cell a=4.1907 b=4.1907 c=9.3383 alpha=90.00 beta=90.00 gamma=90.00
Last column: nearest neighbours and their distance in Å.
Fractional coordinates of all 10 atoms:
Ce 0.0000 0.5000 0.2484  8 P 3.13-3.17, 2 Ni 3.15, 7 Ir 3.15-3.39
Ce 0.5000 0.0000 0.7516  8 P 3.13-3.17, 2 Ni 3.15, 7 Ir 3.15-3.39
Ni 0.0000 0.0000 0.5000  4 P 2.42
P 0.0000 0.0000 0.0000  4 Ir 2.35
P 0.0000 0.5000 0.6303  3 Ir 2.38-2.42, 2 Ni 2.42
P 0.5000 0.0000 0.3697  3 Ir 2.38-2.42, 2 Ni 2.42
P 0.5000 0.5000 0.0000  4 Ir 2.35
Ir 0.0000 0.5000 0.8853  5 P 2.35-2.38
Ir 0.5000 0.0000 0.1147  5 P 2.35-2.38
Ir 0.5000 0.5000 0.5000  4 P 2.42

Summary:
Its total energy is -7.603 eV/atom.


DFT (PBE) results for CdIrCl after structural relaxation.

Unit cell a=4.4948 b=4.4948 c=4.4948 alpha=60.00 beta=60.00 gamma=60.00
Last column: nearest neighbours and their distance in Å.
Fractional coordinates of all 3 atoms:
Cd 0.0000 0.0000 0.0000  4 Ir 2.75
Ir 0.7500 0.7500 0.7500  4 Cd 2.75, 4 Cl 2.75
Cl 0.5000 0.5000 0.5000  4 Ir 2.75

Summary:
The energy above the most stable polymorph in this dataset is 352.3 meV per atom.


Number 1 is which compound?
Ce2NiP4Ir3


Number 1 is which compound?
Ce2NiP4Ir3